# Tc2MoHRh, relaxed, DFT PBE-GGA
# Electronic total energy   -42.5 eV/cell
# Theoretical density   10.80 g cm⁻³
data_Tc2MoHRh
_cell_length_a 3.960
_cell_length_b 3.960
_cell_length_c 3.883
_cell_angle_alpha 90.00
_cell_angle_beta 90.00
_cell_angle_gamma 90.00
_symmetry_space_group_name_H-M 'P 4/m m m'
_symmetry_Int_Tables_number 123
_symmetry_space_group_name_Hall '-P 4 2'
loop_
_atom_site_label
_atom_site_type_symbol
_atom_site_fract_x
_atom_site_fract_y
_atom_site_fract_z
_atom_site_occupancy
Tc1 Tc 0.000 0.500 0.000 1
Mo1 Mo 0.000 0.000 0.500 1
H1 H 0.500 0.500 0.000 1
Rh1 Rh 0.500 0.500 0.500 1